Record 1
DFT (GGA-PBE) results for an optimized crystal structure of Ac6Os2RhCl3.

abc: 7.480 12.962 8.327
angles: 90.00 107.42 90.00
Space group C2/m (No. 12)
Inequivalent atoms, fractional coordinates:
Ac: 0.229 0.000 0.203
Ac: 0.237 0.331 0.203
Os: 0.000 0.166 0.000
Rh: 0.000 0.500 0.000
Cl: 0.000 0.000 0.500
Cl: 0.000 0.329 0.500

Values from the calculation:
Crystal system: monoclinic
Density of states at the Fermi level (states/eV per atom): 0.574
ρ (Mg/m³): 8.41
Formation energy from raw total energies (eV per atom): -0.96

---

Record 2
DFT (GGA-PBE) results for an optimized crystal structure of PuZr3Sc.

abc: 5.204 6.251 7.894
angles: 90.00 109.27 90.00
Space group P2_1/m (No. 11)
Inequivalent atoms, fractional coordinates:
Pu: 0.115 0.250 0.228
Zr: 0.117 0.750 0.240
Zr: 0.309 0.501 0.617
Sc: 0.495 0.750 0.997

Values from the calculation:
ΔE to the lowest computed polymorph (meV per atom): 116
Crystal system: monoclinic
Density of states at the Fermi level (states/eV per atom): 1.778
ρ (Mg/m³): 7.71
DFT formation energy (eV/atom): 0.162

---

Record 3
DFT (GGA-PBE) results for an optimized crystal structure of CeYZnGe.

abc: 7.188 7.188 7.188
angles: 90.00 90.00 90.00
Space group F-43m (No. 216)
Inequivalent atoms, fractional coordinates:
Ce: 0.000 0.000 0.000
Y: 0.000 0.000 0.500
Zn: 0.250 0.250 0.750
Ge: 0.250 0.250 0.250

Values from the calculation:
Crystal system: cubic
Density of states at the Fermi level (states/eV per atom): 1.722
ρ (Mg/m³): 6.56
DFT formation energy (eV/atom): -0.492